Computed, not measured: a relaxed structure of SmSc2Pt at the PBE-GGA level of DFT.

The space group is P4/mmm (No. 123) and the conventional cell measures 3.3788, 3.3788 and 8.1501 Å, with angles of 90.00, 90.00 and 90.00 degrees. The inequivalent atoms are Sm at (0.0000, 0.0000, 0.0000), Sc at (0.5000, 0.5000, 0.3095) and Pt at (0.0000, 0.0000, 0.5000).

The calculation puts the density of states at the Fermi level at 5.5 states/eV/f.u. The electronic total energy is -25.8 eV/cell. The value obtained for the density is 7.77 g cm⁻³. Its energy above the lowest structure with this stoichiometry is 37 kJ/mol of formula units. The calculation puts the formation energy at -597.8 meV per atom.